No. 1
## TbGa2Sn (PBE)

Data for crystalline TbGa2Sn at its relaxed geometry.

Results
- Volume: 90 Å³/f.u.
- E_form: -0.308 eV per atom
- ΔE to the lowest computed polymorph: 0.1906 eV per atom
- Space-group type: P4/mmm, No. 123
- M_tot: 0.0 μB/f.u.

```
data_TbGa2Sn
_chemical_formula_sum 'Tb1 Ga2 Sn1'
_symmetry_space_group_name_H-M 'P 1'
_symmetry_Int_Tables_number 1
_symmetry_space_group_name_Hall 'P 1'
_cell_length_a 3.701
_cell_length_b 3.701
_cell_length_c 6.593
_cell_angle_alpha 90.00
_cell_angle_beta 90.00
_cell_angle_gamma 90.00
loop_
_atom_site_label
_atom_site_fract_x
_atom_site_fract_y
_atom_site_fract_z
Tb1 0.000 0.000 0.000
Ga1 0.500 0.500 0.275
Ga2 0.500 0.500 0.725
Sn1 0.000 0.000 0.500
```



No. 2
## CdAgAu2 (PBE)

Data for crystalline CdAgAu2 at its relaxed geometry.

Results
- Volume: 75 Å³/f.u.
- E_form: -0.035 eV per atom
- Space-group type: R3m, No. 160
- M_tot: 0.0 μB/f.u.

```
data_CdAgAu2
_chemical_formula_sum 'Cd3 Ag3 Au6'
_symmetry_space_group_name_H-M 'P 1'
_symmetry_Int_Tables_number 1
_symmetry_space_group_name_Hall 'P 1'
_cell_length_a 3.032
_cell_length_b 3.032
_cell_length_c 28.297
_cell_angle_alpha 90.00
_cell_angle_beta 90.00
_cell_angle_gamma 120.00
loop_
_atom_site_label
_atom_site_fract_x
_atom_site_fract_y
_atom_site_fract_z
Cd1 0.000 0.000 0.000
Cd2 0.333 0.667 0.667
Cd3 0.667 0.333 0.333
Ag1 0.000 0.000 0.249
Ag2 0.333 0.667 0.916
Ag3 0.667 0.333 0.582
Au1 0.000 0.000 0.501
Au2 0.000 0.000 0.751
Au3 0.333 0.667 0.167
Au4 0.333 0.667 0.418
Au5 0.667 0.333 0.084
Au6 0.667 0.333 0.834
```



Copy entry 1 word for word.
## TbGa2Sn (PBE)

Data for crystalline TbGa2Sn at its relaxed geometry.

Results
- Volume: 90 Å³/f.u.
- E_form: -0.308 eV per atom
- ΔE to the lowest computed polymorph: 0.1906 eV per atom
- Space-group type: P4/mmm, No. 123
- M_tot: 0.0 μB/f.u.

```
data_TbGa2Sn
_chemical_formula_sum 'Tb1 Ga2 Sn1'
_symmetry_space_group_name_H-M 'P 1'
_symmetry_Int_Tables_number 1
_symmetry_space_group_name_Hall 'P 1'
_cell_length_a 3.701
_cell_length_b 3.701
_cell_length_c 6.593
_cell_angle_alpha 90.00
_cell_angle_beta 90.00
_cell_angle_gamma 90.00
loop_
_atom_site_label
_atom_site_fract_x
_atom_site_fract_y
_atom_site_fract_z
Tb1 0.000 0.000 0.000
Ga1 0.500 0.500 0.275
Ga2 0.500 0.500 0.725
Sn1 0.000 0.000 0.500
```



Q: Which value of M_tot does entry 2 give?
A: 0.0 μB/f.u.



Please write out number 1 again, unchanged.
## TbGa2Sn (PBE)

Data for crystalline TbGa2Sn at its relaxed geometry.

Results
- Volume: 90 Å³/f.u.
- E_form: -0.308 eV per atom
- ΔE to the lowest computed polymorph: 0.1906 eV per atom
- Space-group type: P4/mmm, No. 123
- M_tot: 0.0 μB/f.u.

```
data_TbGa2Sn
_chemical_formula_sum 'Tb1 Ga2 Sn1'
_symmetry_space_group_name_H-M 'P 1'
_symmetry_Int_Tables_number 1
_symmetry_space_group_name_Hall 'P 1'
_cell_length_a 3.701
_cell_length_b 3.701
_cell_length_c 6.593
_cell_angle_alpha 90.00
_cell_angle_beta 90.00
_cell_angle_gamma 90.00
loop_
_atom_site_label
_atom_site_fract_x
_atom_site_fract_y
_atom_site_fract_z
Tb1 0.000 0.000 0.000
Ga1 0.500 0.500 0.275
Ga2 0.500 0.500 0.725
Sn1 0.000 0.000 0.500
```



Q: What is the M_tot in the first record?
A: 0.0 μB/f.u.